First-principles (PBE) data for a relaxed structure of PrNpU, as listed in OQMD.

abc: 4.998 4.998 4.998
angles: 60.00 60.00 60.00
Positions (direct):
1 Np 0.250 0.250 0.250
2 Pr 0.750 0.750 0.750
3 U 0.000 0.000 0.000

- formation enthalpy at 0 K (meV/atom) = 1200
- space group = No. 216
- polymorph energy (0 for the lowest one) (meV per atom) = 0
- size of the total moment (μB/f.u.) = 8.02
- crystal system = cubic

***

First-principles (PBE) data for a relaxed structure of CsBeZn3As3, as listed in OQMD.

abc: 4.089 4.161 10.724
angles: 90.00 90.00 90.00
Positions (direct):
1 As 0.500 0.500 0.281
2 As 0.500 0.500 0.728
3 As 0.000 0.000 0.991
4 Be 0.000 0.500 0.845
5 Cs 0.000 0.000 0.505
6 Zn 0.000 0.500 0.148
7 Zn 0.500 0.000 0.151
8 Zn 0.500 0.000 0.850

- space group = No. 25
- calculated total energy (eV/atom) = -3.046
- crystal system = orthorhombic

***

First-principles (PBE) data for a relaxed structure of Li4Zn2GaAu, as listed in OQMD.

abc: 4.344 4.344 6.154
angles: 90.00 90.00 90.00
Positions (direct):
1 Au 0.000 0.000 0.000
2 Ga 0.500 0.500 0.500
3 Li 0.500 0.500 0.000
4 Li 0.500 0.000 0.249
5 Li 0.000 0.000 0.500
6 Li 0.000 0.500 0.751
7 Zn 0.000 0.500 0.257
8 Zn 0.500 0.000 0.743

- space group = No. 115
- calculated total energy (eV/atom) = -2.425
- crystal system = tetragonal

***

First-principles (PBE) data for a relaxed structure of Nb4Ge3Mo2C3, as listed in OQMD.

abc: 5.572 5.572 13.037
angles: 102.35 102.35 59.98
Positions (direct):
1 C 0.669 0.162 0.000
2 C 0.000 0.500 0.000
3 C 0.331 0.838 0.000
4 C 0.162 0.669 0.500
5 C 0.500 0.000 0.500
6 C 0.838 0.331 0.500
7 Ge 0.416 0.275 0.249
8 Ge 0.108 0.892 0.250
9 Ge 0.725 0.584 0.251
10 Ge 0.275 0.416 0.749
11 Ge 0.892 0.108 0.750
12 Ge 0.584 0.725 0.751
13 Mo 0.361 0.528 0.084
14 Mo 0.472 0.639 0.416
15 Mo 0.528 0.361 0.584
16 Mo 0.639 0.472 0.916
17 Nb 0.030 0.199 0.096
18 Nb 0.698 0.865 0.096
19 Nb 0.135 0.302 0.404
20 Nb 0.801 0.970 0.404
21 Nb 0.199 0.030 0.596
22 Nb 0.865 0.698 0.596
23 Nb 0.302 0.135 0.904
24 Nb 0.970 0.801 0.904

- space group = No. 15
- calculated total energy (eV/atom) = -9.012
- size of the total moment (μB/f.u.) = 0.01
- crystal system = monoclinic

***

First-principles (PBE) data for a relaxed structure of UBeOs, as listed in OQMD.

abc: 4.142 4.142 4.142
angles: 60.00 60.00 60.00
Site moments in Bohr magnetons follow the coordinates.
Positions (direct):
1 Be 0.000 0.000 0.000  0.08
2 Os 0.250 0.250 0.250  -0.08
3 U 0.750 0.750 0.750  1.71

- space group = No. 216
- polymorph energy (0 for the lowest one) (meV per atom) = 0
- size of the total moment (μB/f.u.) = 1.99
- crystal system = cubic

***

First-principles (PBE) data for a relaxed structure of Cu2Ag3, as listed in OQMD.

abc: 6.889 2.854 8.089
angles: 90.00 102.30 90.00
Positions (direct):
1 Ag 0.701 0.500 0.078
2 Ag 0.114 0.500 0.284
3 Ag 0.793 0.000 0.399
4 Ag 0.207 0.000 0.601
5 Ag 0.886 0.500 0.716
6 Ag 0.299 0.500 0.922
7 Cu 0.000 0.000 0.000
8 Cu 0.420 0.000 0.218
9 Cu 0.500 0.500 0.500
10 Cu 0.580 0.000 0.782

- formation enthalpy at 0 K (meV/atom) = 81
- space group = No. 10
- polymorph energy (0 for the lowest one) (meV per atom) = 48
- crystal system = monoclinic

***

First-principles (PBE) data for a relaxed structure of DyY3C2S2, as listed in OQMD.

abc: 3.710 3.710 12.919
angles: 90.00 90.00 120.00
Positions (direct):
1 C 0.667 0.333 0.500
2 C 0.667 0.333 0.000
3 Dy 0.000 0.000 0.896
4 S 0.000 0.000 0.250
5 S 0.333 0.667 0.750
6 Y 0.333 0.667 0.104
7 Y 0.333 0.667 0.396
8 Y 0.000 0.000 0.604

- space group = No. 156
- calculated total energy (eV/atom) = -7.598
- size of the total moment (μB/f.u.) = 0.01
- crystal system = trigonal

***

First-principles (PBE) data for a relaxed structure of Co2Pd3Se2, as listed in OQMD.

abc: 5.278 5.278 5.278
angles: 64.41 64.41 64.41
Site moments in Bohr magnetons follow the coordinates.
Positions (direct):
1 Co 0.000 0.000 0.000  1.26
2 Co 0.500 0.500 0.500  2.19
3 Pd 0.500 0.500 0.000  0.19
4 Pd 0.500 0.000 0.500  0.09
5 Pd 0.000 0.500 0.500  0.10
6 Se 0.183 0.183 0.183  0.04
7 Se 0.817 0.817 0.817  0.04

- space group = No. 166
- polymorph energy (0 for the lowest one) (meV per atom) = 66
- size of the total moment (μB/f.u.) = 3.84
- crystal system = trigonal

***

First-principles (PBE) data for a relaxed structure of GdTmCS, as listed in OQMD.

abc: 3.697 3.697 12.883
angles: 90.00 90.00 120.00
Positions (direct):
1 C 0.000 0.000 0.256
2 C 0.000 0.000 0.744
3 Gd 0.667 0.333 0.149
4 Gd 0.667 0.333 0.851
5 S 0.333 0.667 0.000
6 S 0.667 0.333 0.500
7 Tm 0.333 0.667 0.357
8 Tm 0.333 0.667 0.643

- space group = No. 187
- calculated total energy (eV/atom) = -6.871
- size of the total moment (μB/f.u.) = 0.01
- crystal system = hexagonal

***

First-principles (PBE) data for a relaxed structure of ZrSn2, as listed in OQMD.

abc: 5.544 5.544 7.726
angles: 90.00 90.00 120.00
Positions (direct):
1 Sn 0.335 0.167 0.167
2 Sn 0.665 0.833 0.167
3 Sn 0.167 0.335 0.500
4 Sn 0.833 0.665 0.500
5 Sn 0.833 0.167 0.833
6 Sn 0.167 0.833 0.833
7 Zr 0.000 0.500 0.167
8 Zr 0.500 0.000 0.500
9 Zr 0.500 0.500 0.833

- space group = No. 180
- calculated total energy (eV/atom) = -5.942
- size of the total moment (μB/f.u.) = 0.00
- crystal system = hexagonal

***

First-principles (PBE) data for a relaxed structure of Zr4CoNiSb2, as listed in OQMD.

abc: 5.651 3.834 7.837
angles: 90.00 109.31 90.00
Positions (direct):
1 Co 0.881 0.000 0.195
2 Ni 0.124 0.500 0.800
3 Sb 0.628 0.500 0.290
4 Sb 0.371 0.000 0.711
5 Zr 0.248 0.000 0.063
6 Zr 0.183 0.500 0.404
7 Zr 0.813 0.000 0.591
8 Zr 0.751 0.500 0.946

- space group = No. 6
- calculated total energy (eV/atom) = -7.462
- size of the total moment (μB/f.u.) = 0.00
- crystal system = monoclinic

***

First-principles (PBE) data for a relaxed structure of YHg2As, as listed in OQMD.

abc: 5.127 5.127 5.127
angles: 60.00 60.00 60.00
Positions (direct):
1 As 0.500 0.500 0.500
2 Hg 0.000 0.000 0.000
3 Hg 0.750 0.750 0.750
4 Y 0.250 0.250 0.250

- space group = No. 216
- calculated total energy (eV/atom) = -3.256
- size of the total moment (μB/f.u.) = 0.14
- crystal system = cubic

***

First-principles (PBE) data for a relaxed structure of Ho2Re2O5, as listed in OQMD.

abc: 6.729 3.969 3.969
angles: 90.00 90.00 90.00
Positions (direct):
1 Ho 0.000 0.000 0.000
2 Ho 0.500 0.000 0.000
3 O 0.243 0.500 0.000
4 O 0.757 0.500 0.000
5 O 0.243 0.000 0.500
6 O 0.757 0.000 0.500
7 O 0.500 0.500 0.500
8 Re 0.175 0.500 0.500
9 Re 0.825 0.500 0.500

- space group = No. 123
- polymorph energy (0 for the lowest one) (meV per atom) = 0
- size of the total moment (μB/f.u.) = 0.00
- crystal system = tetragonal

***

First-principles (PBE) data for a relaxed structure of B2W2N5, as listed in OQMD.

abc: 2.800 2.800 24.871
angles: 90.00 90.00 120.00
Site moments in Bohr magnetons follow the coordinates.
Positions (direct):
1 B 0.667 0.333 0.073  -0.03
2 B 0.333 0.667 0.304  0.00
3 B 0.333 0.667 0.573  -0.03
4 B 0.667 0.333 0.804  0.00
5 N 0.333 0.667 0.062  0.28
6 N 0.667 0.333 0.139  0.06
7 N 0.333 0.667 0.243  0.00
8 N 0.667 0.333 0.323  0.00
9 N 0.333 0.667 0.454  0.00
10 N 0.667 0.333 0.562  0.28
11 N 0.333 0.667 0.639  0.07
12 N 0.667 0.333 0.743  0.00
13 N 0.333 0.667 0.823  0.00
14 N 0.667 0.333 0.954  0.00
15 W 0.000 0.000 0.190  0.10
16 W 0.667 0.333 0.410  0.02
17 W 0.000 0.000 0.690  0.10
18 W 0.333 0.667 0.910  0.02

- space group = No. 186
- polymorph energy (0 for the lowest one) (meV per atom) = 181
- size of the total moment (μB/f.u.) = 0.61
- crystal system = hexagonal

***

First-principles (PBE) data for a relaxed structure of Pr3NiGe4, as listed in OQMD.

abc: 6.459 4.135 7.124
angles: 90.00 103.93 90.00
Positions (direct):
1 Ge 0.775 0.500 0.243
2 Ge 0.482 0.000 0.350
3 Ge 0.743 0.500 0.613
4 Ge 0.091 0.000 0.789
5 Ni 0.855 0.000 0.457
6 Pr 0.199 0.500 0.090
7 Pr 0.219 0.500 0.545
8 Pr 0.637 0.000 0.914

- space group = No. 6
- calculated total energy (eV/atom) = -5.339
- size of the total moment (μB/f.u.) = 0.00
- crystal system = monoclinic

***

First-principles (PBE) data for a relaxed structure of Tm3BiP2, as listed in OQMD.

abc: 4.004 4.004 10.481
angles: 90.00 90.00 120.00
Positions (direct):
1 Bi 0.000 0.000 0.000
2 P 0.333 0.667 0.347
3 P 0.667 0.333 0.653
4 Tm 0.667 0.333 0.205
5 Tm 0.000 0.000 0.500
6 Tm 0.333 0.667 0.795

- space group = No. 164
- calculated total energy (eV/atom) = -6.030
- size of the total moment (μB/f.u.) = 0.00
- crystal system = trigonal

***

First-principles (PBE) data for a relaxed structure of Na4SiAg2Pb, as listed in OQMD.

abc: 4.840 4.840 7.147
angles: 90.00 90.00 90.00
Positions (direct):
1 Ag 0.000 0.500 0.278
2 Ag 0.500 0.000 0.722
3 Na 0.500 0.500 0.000
4 Na 0.500 0.000 0.270
5 Na 0.000 0.000 0.500
6 Na 0.000 0.500 0.730
7 Pb 0.000 0.000 0.000
8 Si 0.500 0.500 0.500

- space group = No. 115
- calculated total energy (eV/atom) = -2.503
- crystal system = tetragonal

***

First-principles (PBE) data for a relaxed structure of CsTm8, as listed in OQMD.

abc: 11.714 11.714 3.202
angles: 90.00 90.00 120.00
Site moments in Bohr magnetons follow the coordinates.
Positions (direct):
1 Cs 0.000 0.000 0.500  0.00
2 Tm 0.348 0.174 0.000  0.17
3 Tm 0.826 0.174 0.000  0.16
4 Tm 0.667 0.333 0.000  0.04
5 Tm 0.174 0.348 0.000  0.16
6 Tm 0.826 0.652 0.000  0.16
7 Tm 0.333 0.667 0.000  0.04
8 Tm 0.174 0.826 0.000  0.16
9 Tm 0.652 0.826 0.000  0.17

- space group = No. 191
- calculated total energy (eV/atom) = -2.891
- size of the total moment (μB/f.u.) = 1.43
- crystal system = hexagonal

***

First-principles (PBE) data for a relaxed structure of YTlHgS3, as listed in OQMD.

abc: 7.973 4.106 10.529
angles: 90.00 108.09 90.00
Positions (direct):
1 Hg 0.587 0.250 0.117
2 Hg 0.413 0.750 0.883
3 S 0.756 0.750 0.069
4 S 0.572 0.250 0.352
5 S 0.048 0.250 0.367
6 S 0.952 0.750 0.633
7 S 0.428 0.750 0.648
8 S 0.244 0.250 0.931
9 Tl 0.226 0.750 0.222
10 Tl 0.774 0.250 0.778
11 Y 0.813 0.750 0.366
12 Y 0.187 0.250 0.634

- space group = No. 11
- polymorph energy (0 for the lowest one) (meV per atom) = 38
- size of the total moment (μB/f.u.) = 0.00
- crystal system = monoclinic

***

First-principles (PBE) data for a relaxed structure of ScNiHgGe, as listed in OQMD.

abc: 4.597 4.597 4.597
angles: 60.00 60.00 60.00
Positions (direct):
1 Ge 0.000 0.000 0.000
2 Hg 0.500 0.500 0.500
3 Ni 0.750 0.750 0.750
4 Sc 0.250 0.250 0.250

- space group = No. 216
- polymorph energy (0 for the lowest one) (meV per atom) = 0
- size of the total moment (μB/f.u.) = 0.02
- crystal system = cubic

***

First-principles (PBE) data for a relaxed structure of Er3Si4Tc2, as listed in OQMD.

abc: 5.704 5.704 8.086
angles: 108.15 108.15 42.89
Positions (direct):
1 Er 0.623 0.623 0.197
2 Er 0.000 0.000 0.500
3 Er 0.377 0.377 0.803
4 Si 0.903 0.903 0.083
5 Si 0.285 0.285 0.426
6 Si 0.715 0.715 0.574
7 Si 0.097 0.097 0.917
8 Tc 0.321 0.321 0.150
9 Tc 0.679 0.679 0.850

- space group = No. 12
- calculated total energy (eV/atom) = -6.954
- size of the total moment (μB/f.u.) = 0.03
- crystal system = monoclinic

***

First-principles (PBE) data for a relaxed structure of SmDyGa2, as listed in OQMD.

abc: 4.088 5.900 5.900
angles: 43.54 90.00 90.00
Positions (direct):
1 Dy 0.000 0.639 0.639
2 Ga 0.500 0.077 0.077
3 Ga 0.000 0.924 0.924
4 Sm 0.500 0.360 0.360

- space group = No. 38
- calculated total energy (eV/atom) = -4.458
- size of the total moment (μB/f.u.) = 0.10
- crystal system = orthorhombic

***

First-principles (PBE) data for a relaxed structure of SmYPt, as listed in OQMD.

abc: 4.784 4.784 4.784
angles: 60.00 60.00 60.00
Positions (direct):
1 Pt 0.250 0.250 0.250
2 Sm 0.750 0.750 0.750
3 Y 0.000 0.000 0.000

- formation enthalpy at 0 K (meV/atom) = -89
- space group = No. 216
- polymorph energy (0 for the lowest one) (meV per atom) = 813
- size of the total moment (μB/f.u.) = 0.00
- crystal system = cubic

***

First-principles (PBE) data for a relaxed structure of PrGdCCl, as listed in OQMD.

abc: 3.733 3.733 14.211
angles: 90.00 90.00 120.00
Positions (direct):
1 C 0.000 0.000 0.237
2 C 0.000 0.000 0.763
3 Cl 0.667 0.333 0.000
4 Cl 0.333 0.667 0.500
5 Gd 0.333 0.667 0.151
6 Gd 0.333 0.667 0.849
7 Pr 0.667 0.333 0.341
8 Pr 0.667 0.333 0.659

- space group = No. 187
- calculated total energy (eV/atom) = -6.170
- size of the total moment (μB/f.u.) = 0.00
- crystal system = hexagonal